# 1
Here is a crystal of MgTiNi2Os relaxed with PBEsol from Alexandria. Energies are from meta-GGA SCAN.

Unit cell a=4.0820 b=4.0820 c=4.5297 alpha=90.00 beta=90.00 gamma=90.00
With the nearest neighbours (Å) after each atom.
Atoms (fractional coordinates):
Mg1 0.0000 0.0000 0.0000  4 Ni 2.04, 2 Os 2.26
Ti1 0.5000 0.5000 0.5000  4 Os 2.89, 8 Ni 3.05
Ni1 0.0000 0.5000 0.0000  2 Mg 2.04
Ni2 0.5000 0.0000 0.0000  2 Mg 2.04
Os1 0.0000 0.0000 0.5000  2 Mg 2.26

Properties
**E**: -23.9105 eV/atom

# 2
Here is a crystal of MgNiP2 relaxed with PBEsol from Alexandria. Energies are from meta-GGA SCAN.

Unit cell a=3.5910 b=3.5910 c=4.8990 alpha=111.50 beta=111.50 gamma=90.00
With the nearest neighbours (Å) after each atom.
Atoms (fractional coordinates):
Ni1 0.2500 0.7500 0.5000  8 P 2.54-2.76, 4 Mg 2.76
P1 0.0000 0.0000 0.0000  4 Mg 2.54, 4 Ni 2.76, 4 P 2.76
P2 0.7500 0.2500 0.5000  4 Ni 2.54, 4 Mg 2.76, 4 P 2.76
Mg1 0.5000 0.5000 0.0000  8 P 2.54-2.76, 4 Ni 2.76

Properties
**E**: -10.4482 eV/atom